1.
{"formula": "Pr3IrI3", "functional": "PBE-GGA", "state": "relaxed", "formation_energy_uncorrected_ev_per_atom": -1.14, "polymorph_energy_mev_per_atom": 7, "lattice_angstrom": [[9.497, 0.000, 0.000], [0.000, 4.296, 0.000], [-0.494, 0.000, 12.689]], "species": ["Pr", "Pr", "Pr", "Pr", "Pr", "Pr", "Ir", "Ir", "I", "I", "I", "I", "I", "I"], "frac_coords": [[0.093, 0.250, 0.392], [0.117, 0.250, 0.839], [0.313, 0.750, 0.621], [0.687, 0.250, 0.379], [0.883, 0.750, 0.161], [0.907, 0.750, 0.608], [0.115, 0.250, 0.621], [0.885, 0.750, 0.379], [0.136, 0.250, 0.116], [0.373, 0.750, 0.877], [0.390, 0.750, 0.367], [0.610, 0.250, 0.633], [0.627, 0.250, 0.123], [0.864, 0.750, 0.884]]}

***

2.
{"formula": "PrSm5Bi4", "functional": "PBE-GGA", "state": "relaxed", "energy_ev_per_atom": -4.93, "lattice_angstrom": [[9.749, -2.254, 0.000], [9.749, 2.254, 0.000], [-2.517, 0.000, 8.398]], "species": ["Pr", "Sm", "Sm", "Sm", "Sm", "Sm", "Bi", "Bi", "Bi", "Bi"], "frac_coords": [[0.000, 0.000, 0.000], [0.000, 0.000, 0.500], [0.320, 0.320, 0.650], [0.339, 0.339, 0.179], [0.661, 0.661, 0.821], [0.680, 0.680, 0.350], [0.172, 0.172, 0.088], [0.489, 0.489, 0.736], [0.511, 0.511, 0.264], [0.828, 0.828, 0.912]]}

***

3.
{"formula": "Th6FeSe3S2", "functional": "PBE-GGA", "state": "relaxed", "formation_energy_uncorrected_ev_per_atom": -1.42, "lattice_angstrom": [[3.561, -6.141, 0.000], [3.561, 6.141, 0.000], [-2.383, 0.000, 6.954]], "species": ["Th", "Th", "Th", "Th", "Th", "Th", "Fe", "Se", "Se", "Se", "S", "S"], "frac_coords": [[0.074, 0.393, 0.221], [0.246, 0.246, 0.772], [0.393, 0.074, 0.221], [0.607, 0.926, 0.779], [0.754, 0.754, 0.228], [0.926, 0.607, 0.779], [0.000, 0.000, 0.000], [0.173, 0.827, 0.500], [0.500, 0.500, 0.500], [0.827, 0.173, 0.500], [0.334, 0.666, 0.000], [0.666, 0.334, 0.000]]}

***

4.
{"formula": "CrGaTe2I", "functional": "PBE-GGA", "state": "relaxed", "formation_energy_uncorrected_ev_per_atom": 0.13, "polymorph_energy_mev_per_atom": 0, "lattice_angstrom": [[5.231, 0.000, 0.000], [0.000, 5.231, 0.000], [0.000, 0.000, 5.824]], "species": ["Cr", "Ga", "Te", "Te", "I"], "frac_coords": [[0.000, 0.000, 0.000], [0.500, 0.500, 0.500], [0.000, 0.500, 0.000], [0.500, 0.000, 0.000], [0.000, 0.000, 0.500]]}

***

5.
{"formula": "La3PrEr3Te8", "functional": "PBE-GGA", "state": "relaxed", "formation_energy_uncorrected_ev_per_atom": -1.46, "lattice_angstrom": [[4.422, 2.553, 7.303], [-4.422, 2.553, 7.303], [0.000, -5.106, 7.303]], "species": ["La", "La", "La", "Pr", "Er", "Er", "Er", "Te", "Te", "Te", "Te", "Te", "Te", "Te", "Te"], "frac_coords": [[0.000, 0.500, 0.500], [0.500, 0.000, 0.500], [0.500, 0.500, 0.000], [0.500, 0.500, 0.500], [0.000, 0.000, 0.500], [0.000, 0.500, 0.000], [0.500, 0.000, 0.000], [0.229, 0.758, 0.758], [0.242, 0.242, 0.771], [0.242, 0.771, 0.242], [0.244, 0.244, 0.244], [0.756, 0.756, 0.756], [0.758, 0.229, 0.758], [0.758, 0.758, 0.229], [0.771, 0.242, 0.242]]}

***

no.,D(E_F) (states/eV/atom),density (g/cm³)
1,0.7555,6.4
2,0.6876,7.8
3,0.8031,9.5
4,0.7958,5.2
5,0.5324,7.0